[1]
Here is crystalline ZnPtRh at its relaxed geometry from Alexandria via LeMat-Bulk. Energies are from PBE.

Total energy ... -5.2100 eV/atom
ΔE_f ... -321 meV/atom

abc: 4.663 2.799 6.759
angles: 90.00 99.43 90.00
Fractional coordinates of all 6 atoms:
Rh1 0.891 0.000 0.181
Zn1 0.391 0.500 0.169
Pt1 0.157 0.000 0.845
Pt2 0.412 0.000 0.500
Rh2 0.660 0.500 0.848
Zn2 0.913 0.500 0.516

***

[2]
Here is crystalline Zn2PtRh2 at its relaxed geometry from Alexandria via LeMat-Bulk. Energies are from PBE.

Total energy ... -4.8284 eV/atom
ΔE_f ... -170 meV/atom

abc: 6.992 6.992 2.963
angles: 90.00 90.00 90.00
Fractional coordinates of all 10 atoms:
Pt1 0.500 0.500 0.000
Pt2 0.000 0.000 0.000
Rh1 0.829 0.329 0.500
Rh2 0.329 0.171 0.500
Zn1 0.628 0.128 0.000
Zn2 0.872 0.628 0.000
Rh3 0.171 0.671 0.500
Zn3 0.372 0.872 0.000
Zn4 0.128 0.372 0.000
Rh4 0.671 0.829 0.500

***

[3]
Here is crystalline ZnPt6Rh2 at its relaxed geometry from Alexandria via LeMat-Bulk. Energies are from PBE.

Total energy ... -5.9386 eV/atom
ΔE_f ... -136 meV/atom

abc: 3.917 4.813 8.341
angles: 73.11 76.42 65.99
Fractional coordinates of all 9 atoms:
Pt1 0.665 0.724 0.946
Pt2 0.331 0.947 0.392
Zn1 0.000 0.500 0.500
Pt3 0.999 0.825 0.176
Pt4 0.001 0.175 0.824
Rh1 0.664 0.391 0.281
Pt5 0.335 0.276 0.054
Rh2 0.336 0.609 0.719
Pt6 0.669 0.053 0.608

***

[4]
Here is crystalline Zn2Pt6Rh at its relaxed geometry from Alexandria via LeMat-Bulk. Energies are from PBE.

Total energy ... -5.2920 eV/atom
ΔE_f ... -165 meV/atom

abc: 4.568 7.472 6.044
angles: 51.46 112.20 90.00
Fractional coordinates of all 9 atoms:
Zn1 0.175 0.325 0.350
Pt1 0.333 0.477 0.667
Pt2 0.001 0.196 0.002
Pt3 0.667 0.523 0.333
Zn2 0.825 0.675 0.650
Pt4 0.999 0.804 0.998
Pt5 0.335 0.855 0.670
Pt6 0.665 0.145 0.330
Rh1 0.500 0.000 0.000